Computed, not measured: a relaxed structure of YMgGaPt at the GGA-PBE level of DFT.

E (eV/atom): -5.03
ρ (Mg/m³): 8.0

Lattice parameters (Å, degrees): 4.8058 4.8058 4.8058 60.00 60.00 60.00
Closest atoms and distances in Å follow each position.
Fractional positions:
Y  0.0000  0.0000  0.0000  4 Pt 2.94, 4 Ga 2.94
Mg  0.5000  0.5000  0.5000  4 Pt 2.94, 4 Ga 2.94
Ga  0.2500  0.2500  0.2500  4 Mg 2.94, 4 Y 2.94
Pt  0.7500  0.7500  0.7500  4 Mg 2.94, 4 Y 2.94

Computed, not measured: a relaxed structure of YMgGaPt at the GGA-PBE level of DFT.

E (eV/atom): -4.91
ρ (Mg/m³): 8.5

Lattice parameters (Å, degrees): 4.7092 4.7092 4.7092 60.00 60.00 60.00
Closest atoms and distances in Å follow each position.
Fractional positions:
Y  0.0000  0.0000  0.0000  4 Ga 2.88, 4 Mg 2.88
Mg  0.2500  0.2500  0.2500  4 Pt 2.88, 4 Y 2.88
Ga  0.7500  0.7500  0.7500  4 Pt 2.88, 4 Y 2.88
Pt  0.5000  0.5000  0.5000  4 Ga 2.88, 4 Mg 2.88

Computed, not measured: a relaxed structure of PuMgGa at the GGA-PBE level of DFT.

E (eV/atom): -5.76
ρ (Mg/m³): 7.1

Lattice parameters (Å, degrees): 4.8157 4.8157 4.8157 60.00 60.00 60.00
Closest atoms and distances in Å follow each position.
Fractional positions:
Pu  0.0000  0.0000  0.0000  4 Mg 2.95, 4 Ga 2.95
Mg  0.2500  0.2500  0.2500  4 Pu 2.95
Ga  0.7500  0.7500  0.7500  4 Pu 2.95

Computed, not measured: a relaxed structure of PuMgGa at the GGA-PBE level of DFT.

E (eV/atom): -5.99
ρ (Mg/m³): 7.5

Lattice parameters (Å, degrees): 4.7369 4.7369 4.7369 60.00 60.00 60.00
Closest atoms and distances in Å follow each position.
Fractional positions:
Pu  0.0000  0.0000  0.0000  4 Mg 2.90
Mg  0.7500  0.7500  0.7500  4 Ga 2.90, 4 Pu 2.90
Ga  0.5000  0.5000  0.5000  4 Mg 2.90

Computed, not measured: a relaxed structure of MgGa4Re at the GGA-PBE level of DFT.

E (eV/atom): -4.23
ρ (Mg/m³): 8.5

Lattice parameters (Å, degrees): 4.5120 4.5120 5.4182 90.00 90.00 120.00
Closest atoms and distances in Å follow each position.
Fractional positions:
Mg  0.0000  0.0000  0.0000  2 Re 2.71, 12 Ga 2.96
Ga  0.3333  0.6667  0.2604  5 Ga 2.60-2.82
Ga  0.3333  0.6667  0.7396  5 Ga 2.60-2.82
Ga  0.6667  0.3333  0.2604  5 Ga 2.60-2.82
Ga  0.6667  0.3333  0.7396  5 Ga 2.60-2.82
Re  0.0000  0.0000  0.5000  2 Mg 2.71, 12 Ga 2.91

Computed, not measured: a relaxed structure of MgGaReTe at the GGA-PBE level of DFT.

E (eV/atom): -4.67
ρ (Mg/m³): 9.5

Lattice parameters (Å, degrees): 4.6587 4.6587 4.6587 60.00 60.00 60.00
Closest atoms and distances in Å follow each position.
Fractional positions:
Mg  0.0000  0.0000  0.0000  4 Te 2.85, 4 Ga 2.85
Ga  0.2500  0.2500  0.2500  4 Re 2.85, 4 Mg 2.85
Re  0.5000  0.5000  0.5000  4 Te 2.85, 4 Ga 2.85
Te  0.7500  0.7500  0.7500  4 Mg 2.85, 4 Re 2.85

Computed, not measured: a relaxed structure of MgSc2ZnGa2 at the GGA-PBE level of DFT.

E (eV/atom): -4.02
ρ (Mg/m³): 4.7

Lattice parameters (Å, degrees): 4.4542 4.4542 6.5051 90.00 90.00 120.00
Closest atoms and distances in Å follow each position.
Fractional positions:
Mg  0.0000  0.0000  0.0000  3 Ga 2.57
Sc  0.3333  0.6667  0.2537  6 Ga 3.03-3.06, 3 Zn 3.03, 3 Mg 3.06, 2 Sc 3.20-3.30
Sc  0.3333  0.6667  0.7463  6 Ga 3.03-3.06, 3 Zn 3.03, 3 Mg 3.06, 2 Sc 3.20-3.30
Zn  0.6667  0.3333  0.5000  3 Ga 2.57
Ga  0.0000  0.0000  0.5000  3 Zn 2.57
Ga  0.6667  0.3333  0.0000  3 Mg 2.57

Computed, not measured: a relaxed structure of SmMgGa at the GGA-PBE level of DFT.

E (eV/atom): -3.53
ρ (Mg/m³): 5.7

Lattice parameters (Å, degrees): 4.7136 4.7136 7.4052 90.00 90.00 120.00
Closest atoms and distances in Å follow each position.
Fractional positions:
Sm  0.0000  0.0000  0.0000  6 Mg 3.29, 6 Ga 3.29
Sm  0.0000  0.0000  0.5000  6 Mg 3.29, 6 Ga 3.29
Mg  0.3333  0.6667  0.2500  3 Ga 2.72
Mg  0.6667  0.3333  0.7500  3 Ga 2.72
Ga  0.3333  0.6667  0.7500  3 Mg 2.72
Ga  0.6667  0.3333  0.2500  3 Mg 2.72